Here is NaCu2SbCl8 after structural relaxation from Alexandria. Energies are from GGA-PBE.

Properties
crystal system	tetragonal

Cell lengths 8.7979, 8.7979, 8.0759 Å; angles 90.00, 90.00, 90.00 degrees
Space group I-4m2 (No. 119)
Inequivalent atoms, fractional coordinates:
Na  0.0000  0.0000  0.0000
Cu  0.0000  0.0000  0.5000
Cu  0.0000  0.5000  0.2500
Sb  0.0000  0.5000  0.7500
Cl  0.0000  0.1945  0.6844
Cl  0.0000  0.3221  0.0506

---

Here is NaSc2CuCl8 after structural relaxation from Alexandria. Energies are from GGA-PBE.

Properties
crystal system	triclinic

Cell lengths 7.0149, 7.1665, 7.5328 Å; angles 83.52, 89.78, 65.47 degrees
Space group P-1 (No. 2)
Inequivalent atoms, fractional coordinates:
Na  0.0000  0.0000  0.0000
Sc  0.0234  0.4869  0.2549
Cu  0.0000  0.0000  0.5000
Cl  0.1620  0.7597  0.7176
Cl  0.2248  0.2803  0.0056
Cl  0.2320  0.2846  0.5410
Cl  0.2355  0.6758  0.2364

---

Here is NaScCuCl5 after structural relaxation from Alexandria. Energies are from GGA-PBE.

Properties
crystal system	monoclinic

Cell lengths 8.0663, 11.4001, 9.4307 Å; angles 90.00, 113.12, 90.00 degrees
Space group C2/c (No. 15)
Inequivalent atoms, fractional coordinates:
Na  0.0000  0.1382  0.2500
Sc  0.0000  0.5000  0.0000
Cu  0.0000  0.1916  0.7500
Cl  0.0000  0.4124  0.2500
Cl  0.1290  0.3090  0.6229
Cl  0.1833  0.0641  0.9389

---

Here is NaCuSe2Cl after structural relaxation from Alexandria. Energies are from GGA-PBE.

Properties
crystal system	tetragonal

Cell lengths 5.3560, 5.3560, 4.9182 Å; angles 90.00, 90.00, 90.00 degrees
Space group P4/mmm (No. 123)
Inequivalent atoms, fractional coordinates:
Na  0.0000  0.0000  0.0000
Cu  0.5000  0.5000  0.5000
Se  0.0000  0.5000  0.0000
Cl  0.0000  0.0000  0.5000

---

Here is Na2SmCuCl6 after structural relaxation from Alexandria. Energies are from GGA-PBE.

Properties
E above lowest polymorph	0	meV per atom
crystal system	monoclinic

Cell lengths 6.9477, 6.5493, 14.0040 Å; angles 90.00, 119.41, 90.00 degrees
Space group P2_1/c (No. 14)
Inequivalent atoms, fractional coordinates:
Na  0.1974  0.0045  0.2023
Sm  0.5000  0.0000  0.0000
Cu  0.0000  0.0000  0.5000
Cl  0.1553  0.2218  0.9932
Cl  0.1764  0.7466  0.3544
Cl  0.4930  0.7147  0.6620

---

Here is Na2SmCuCl6 after structural relaxation from Alexandria. Energies are from GGA-PBE.

Properties
E above lowest polymorph	147	meV per atom
crystal system	cubic

Cell lengths 10.3568, 10.3568, 10.3568 Å; angles 90.00, 90.00, 90.00 degrees
Space group Fm-3m (No. 225)
Inequivalent atoms, fractional coordinates:
Na  0.2500  0.2500  0.2500
Sm  0.0000  0.0000  0.0000
Cu  0.0000  0.0000  0.5000
Cl  0.0000  0.0000  0.2582

---

Here is Na2CuSnCl6 after structural relaxation from Alexandria. Energies are from GGA-PBE.

Properties
crystal system	triclinic

Cell lengths 6.8461, 6.8516, 7.2411 Å; angles 118.12, 90.05, 119.85 degrees
Space group P1 (No. 1)
Inequivalent atoms, fractional coordinates:
Na  0.0000  0.0000  0.0000
Na  0.4988  0.9973  0.4952
Cu  0.7963  0.5924  0.3897
Sn  0.2968  0.5929  0.8898
Cl  0.0499  0.4959  0.1705
Cl  0.1509  0.0770  0.6482
Cl  0.4453  0.1188  0.1693
Cl  0.5721  0.7208  0.6467
Cl  0.6750  0.7239  0.1705
Cl  0.9257  0.4971  0.6463

---

Here is NaCu2SnCl6 after structural relaxation from Alexandria. Energies are from GGA-PBE.

Properties
crystal system	monoclinic

Cell lengths 13.7479, 11.7125, 7.1311 Å; angles 90.00, 109.92, 90.00 degrees
Space group C2/c (No. 15)
Inequivalent atoms, fractional coordinates:
Na  0.0000  0.1738  0.2500
Cu  0.2063  0.0871  0.7653
Sn  0.0000  0.4027  0.7500
Cl  0.1219  0.3778  0.1585
Cl  0.1227  0.2632  0.6501
Cl  0.1299  0.0139  0.9728

---

Here is NaCuSnCl4 after structural relaxation from Alexandria. Energies are from GGA-PBE.

Properties
crystal system	monoclinic

Cell lengths 6.4050, 7.4316, 7.9007 Å; angles 90.00, 106.45, 90.00 degrees
Space group P2_1/m (No. 11)
Inequivalent atoms, fractional coordinates:
Na  0.2338  0.2500  0.0590
Cu  0.2157  0.7500  0.3187
Sn  0.1978  0.2500  0.5484
Cl  0.0050  0.0031  0.2399
Cl  0.4613  0.7500  0.6005
Cl  0.4786  0.7500  0.1478

---

Here is NaSrCu2Cl8 after structural relaxation from Alexandria. Energies are from GGA-PBE.

Properties
crystal system	tetragonal

Cell lengths 6.6389, 6.6389, 13.9804 Å; angles 90.00, 90.00, 90.00 degrees
Space group I-4 (No. 82)
Inequivalent atoms, fractional coordinates:
Na  0.0000  0.0000  0.0000
Sr  0.0000  0.5000  0.7500
Cu  0.0000  0.0000  0.5000
Cu  0.0000  0.5000  0.2500
Cl  0.1414  0.7754  0.1910
Cl  0.1453  0.2771  0.5625

---

Here is Na2SrCuCl5 after structural relaxation from Alexandria. Energies are from GGA-PBE.

Properties
crystal system	orthorhombic

Cell lengths 4.0386, 18.6644, 12.4252 Å; angles 90.00, 90.00, 90.00 degrees
Space group Cmc2_1 (No. 36)
Inequivalent atoms, fractional coordinates:
Na  0.0000  0.0696  0.0000
Na  0.0000  0.1041  0.6888
Sr  0.0000  0.2064  0.3900
Cu  0.0000  0.4304  0.7711
Cl  0.0000  0.0487  0.3633
Cl  0.0000  0.3069  0.7272
Cl  0.0000  0.3117  0.0519
Cl  0.0000  0.3622  0.3684
Cl  0.0000  0.4998  0.1183

---

Here is Na2TbCuCl6 after structural relaxation from Alexandria. Energies are from GGA-PBE.

Properties
E above lowest polymorph	137	meV per atom
crystal system	cubic

Cell lengths 10.2632, 10.2632, 10.2632 Å; angles 90.00, 90.00, 90.00 degrees
Space group Fm-3m (No. 225)
Inequivalent atoms, fractional coordinates:
Na  0.2500  0.2500  0.2500
Tb  0.0000  0.0000  0.0000
Cu  0.0000  0.0000  0.5000
Cl  0.0000  0.0000  0.2560

---

Number 1: V 26.05 Å³ per atom, ΔE_f (raw) -70 kJ per mole of atoms. Number 2: V 28.49 Å³ per atom, ΔE_f (raw) -169 kJ per mole of atoms. Number 3: V 24.92 Å³ per atom, ΔE_f (raw) -153 kJ per mole of atoms. Number 4: V 28.22 Å³ per atom, ΔE_f (raw) 57 kJ per mole of atoms. Number 5: V 27.76 Å³ per atom, ΔE_f (raw) -162 kJ per mole of atoms. Number 6: V 27.77 Å³ per atom, ΔE_f (raw) -148 kJ per mole of atoms. Number 7: V 24.72 Å³ per atom, ΔE_f (raw) -111 kJ per mole of atoms. Number 8: V 26.99 Å³ per atom, ΔE_f (raw) -87 kJ per mole of atoms. Number 9: V 25.76 Å³ per atom, ΔE_f (raw) -98 kJ per mole of atoms. Number 10: V 25.67 Å³ per atom, ΔE_f (raw) -103 kJ per mole of atoms. Number 11: V 26.02 Å³ per atom, ΔE_f (raw) -161 kJ per mole of atoms. Number 12: V 27.03 Å³ per atom, ΔE_f (raw) -150 kJ per mole of atoms.